No. 1
Compound: La6Tl5I
Source: Alexandria via LeMat-Bulk
Functional: PBE-GGA
Structure: relaxed

Geometry as CIF:
```
data_La6Tl5I
_chemical_formula_sum 'La12 Tl10 I2'
_cell_length_a 5.509
_cell_length_b 8.284
_cell_length_c 16.621
_cell_angle_alpha 90.00
_cell_angle_beta 90.00
_cell_angle_gamma 90.00
_space_group_name_H-M_alt 'I m m m'
_space_group_IT_number 71
_space_group_name_Hall '-I 2 2'
loop_
_atom_site_label
_atom_site_type_symbol
_atom_site_fract_x
_atom_site_fract_y
_atom_site_fract_z
La1 La 0.000 0.247 0.162
La2 La 0.000 0.250 0.500
Tl1 Tl 0.000 0.000 0.332
Tl2 Tl 0.000 0.500 0.000
Tl3 Tl 0.000 0.500 0.322
I1 I 0.000 0.000 0.000
```

Summary:
DOS(E_F) in states/eV/f.u.: 8.8
Energy relative to the elements, uncorrected in eV/atom: -0.48

---

No. 2
Compound: LaTl3I
Source: Alexandria via LeMat-Bulk
Functional: PBE-GGA
Structure: relaxed

Geometry as CIF:
```
data_LaTl3I
_chemical_formula_sum 'La1 Tl3 I1'
_cell_length_a 6.092
_cell_length_b 6.092
_cell_length_c 6.092
_cell_angle_alpha 90.00
_cell_angle_beta 90.00
_cell_angle_gamma 90.00
_space_group_name_H-M_alt 'P m -3 m'
_space_group_IT_number 221
_space_group_name_Hall '-P 4 2 3'
loop_
_atom_site_label
_atom_site_type_symbol
_atom_site_fract_x
_atom_site_fract_y
_atom_site_fract_z
La1 La 0.000 0.000 0.000
Tl1 Tl 0.000 0.500 0.500
I1 I 0.500 0.500 0.500
```

Summary:
DOS(E_F) in states/eV/f.u.: 5.1
Energy relative to the elements, uncorrected in eV/atom: 0.35
Energy relative to the lowest polymorph listed for this composition in kJ per mole of atoms: 1.2

---

No. 3
Compound: LaTmI
Source: Alexandria via LeMat-Bulk
Functional: PBE-GGA
Structure: relaxed

Geometry as CIF:
```
data_LaTmI
_chemical_formula_sum 'La4 Tm4 I4'
_cell_length_a 3.785
_cell_length_b 19.355
_cell_length_c 5.598
_cell_angle_alpha 90.00
_cell_angle_beta 90.00
_cell_angle_gamma 90.00
_space_group_name_H-M_alt 'C m c m'
_space_group_IT_number 63
_space_group_name_Hall '-C 2c 2'
loop_
_atom_site_label
_atom_site_type_symbol
_atom_site_fract_x
_atom_site_fract_y
_atom_site_fract_z
La1 La 0.000 0.131 0.250
Tm1 Tm 0.000 0.469 0.250
I1 I 0.000 0.309 0.250
```

Summary:
DOS(E_F) in states/eV/f.u.: 3.3
Energy relative to the elements, uncorrected in eV/atom: -0.50
Energy relative to the lowest polymorph listed for this composition in kJ per mole of atoms: 0.0

---

Number 1: total energy -4.06 eV per atom. Number 2: total energy -2.36 eV per atom. Number 3: total energy -4.15 eV per atom.